No. 1
First-principles (PBE with a Hubbard U) data for SrVIO2 after structural relaxation, as listed in the Alexandria database.

Total energy = -4.311 eV per atom
Symmetry = No. 123

Cell: 4.577 4.577 6.388 Å, 90.00 90.00 90.00°
Last column: magnetic moment on the atom in μB.
Atoms (fractional coordinates):
I: 0.000 0.000 0.500  -0.01
Sr: 0.000 0.000 0.000  0.07
O: 0.000 0.500 0.000  0.10
O: 0.500 0.000 0.000  0.10
V: 0.500 0.500 0.500  3.05

No. 2
First-principles (PBE with a Hubbard U) data for SrVIO2 after structural relaxation, as listed in the Alexandria database.

Total energy = -6.114 eV per atom
Symmetry = No. 11

Cell: 4.254 7.933 7.696 Å, 117.93 90.00 90.00°
Last column: magnetic moment on the atom in μB.
Atoms (fractional coordinates):
Sr: 0.250 0.663 0.949  0.00
Sr: 0.750 0.337 0.051  0.00
V: 0.250 0.599 0.436  1.95
V: 0.750 0.401 0.564  1.95
I: 0.250 0.975 0.735  -0.01
I: 0.750 0.025 0.265  -0.01
O: 0.750 0.557 0.437  -0.04
O: 0.250 0.443 0.563  -0.04
O: 0.750 0.498 0.841  -0.02
O: 0.250 0.502 0.159  -0.02

No. 3
First-principles (PBE with a Hubbard U) data for SrVIO2 after structural relaxation, as listed in the Alexandria database.

Total energy = -5.380 eV per atom
Symmetry = No. 123

Cell: 4.257 4.257 5.299 Å, 90.00 90.00 90.00°
Last column: magnetic moment on the atom in μB.
Atoms (fractional coordinates):
I: 0.000 0.000 0.500  -0.01
Sr: 0.500 0.500 0.500  0.01
O: 0.000 0.500 0.000  -0.01
O: 0.500 0.000 0.000  -0.01
V: 0.000 0.000 0.000  1.88